No. 1
Below is a relaxed CaBMo2Pd crystal, with properties calculated at the PBE level.

Output
As for the formation energy: 2.721 eV per atom. The symmetry is P4/mmm. The calculation puts the calculated total energy at -21.93 eV for the cell shown. For the volume, the calculation gives 90 Å³/cell. Its theoretical density is 6410 kg/m3. The value obtained for the density of states at the Fermi level is 6.83 states/eV/f.u.

Cell: 4.603 4.269 4.603 Å, 90.00 90.00 90.00°
Element x y z (fractional)
Mo  0.000  0.000  0.500
Mo  0.500  0.000  0.000
B  0.000  0.500  0.000
Ca  0.000  0.000  0.000
Pd  0.500  0.500  0.500

No. 2
Below is a relaxed CaB2MoRh crystal, with properties calculated at the PBE level.

Output
As for the formation energy: 1.275 eV per atom. The symmetry is P4/mmm. The calculation puts the calculated total energy at -27.16 eV for the cell shown. For the volume, the calculation gives 88 Å³/cell. Its theoretical density is 4928 kg/m3. The value obtained for the density of states at the Fermi level is 3.35 states/eV/f.u.

Cell: 4.141 5.120 4.141 Å, 90.00 90.00 90.00°
Last column: magnetic moment on the atom in μB.
Element x y z (fractional)
Mo  0.500  0.500  0.500  3.04
B  0.000  0.000  0.500  -0.08
B  0.500  0.000  0.000  -0.02
Rh  0.000  0.000  0.000  0.17
Ca  0.000  0.500  0.000  0.08

No. 3
Below is a relaxed Ca2BMoRh crystal, with properties calculated at the PBE level.

Output
As for the formation energy: 0.793 eV per atom. The symmetry is P4/mmm. The calculation puts the calculated total energy at -24.90 eV for the cell shown. For the volume, the calculation gives 121 Å³/cell. Its theoretical density is 3975 kg/m3. The value obtained for the density of states at the Fermi level is 3.64 states/eV/f.u.

Cell: 5.515 3.980 5.515 Å, 90.00 90.00 90.00°
Last column: magnetic moment on the atom in μB.
Element x y z (fractional)
Mo  0.500  0.500  0.500  3.31
B  0.000  0.500  0.000  -0.04
Rh  0.000  0.000  0.000  0.11
Ca  0.000  0.000  0.500  0.03
Ca  0.500  0.000  0.000  0.02

No. 4
Below is a relaxed Ca2BMoSe crystal, with properties calculated at the PBE level.

Output
The symmetry is P4/mmm. The calculation puts the calculated total energy at -25.34 eV for the cell shown. For the volume, the calculation gives 113 Å³/cell. Its theoretical density is 3898 kg/m3. For the energy relative to the elements, uncorrected, the calculation gives -0.069 eV/atom. The value obtained for the density of states at the Fermi level is 2.64 states/eV/f.u.

Cell: 5.188 4.208 5.188 Å, 90.00 90.00 90.00°
Last column: magnetic moment on the atom in μB.
Element x y z (fractional)
Mo  0.000  0.500  0.000  2.06
B  0.000  0.000  0.000  -0.12
Ca  0.000  0.000  0.500  0.03
Ca  0.500  0.000  0.000  0.01
Se  0.500  0.500  0.500  0.04

No. 5
Below is a relaxed CaTl2BMo crystal, with properties calculated at the PBE level.

Output
As for the formation energy: 2.293 eV per atom. The symmetry is P4/mmm. The calculation puts the calculated total energy at -12.78 eV for the cell shown. For the volume, the calculation gives 177 Å³/cell. Its theoretical density is 5223 kg/m3. The value obtained for the density of states at the Fermi level is 5.75 states/eV/f.u.

Cell: 5.819 5.216 5.819 Å, 90.00 90.00 90.00°
Last column: magnetic moment on the atom in μB.
Element x y z (fractional)
Tl  0.000  0.000  0.500  -0.04
Tl  0.500  0.000  0.000  -0.07
Ca  0.000  0.000  0.000  0.04
Mo  0.000  0.500  0.000  2.81
B  0.500  0.500  0.500  -0.12

No. 6
Below is a relaxed Ca2YBMo crystal, with properties calculated at the PBE level.

Output
As for the formation energy: 1.978 eV per atom. The symmetry is P4/mmm. The calculation puts the calculated total energy at -18.09 eV for the cell shown. For the volume, the calculation gives 146 Å³/cell. Its theoretical density is 3137 kg/m3. The value obtained for the density of states at the Fermi level is 7.16 states/eV/f.u.

Cell: 5.832 4.293 5.832 Å, 90.00 90.00 90.00°
Element x y z (fractional)
Y  0.000  0.000  0.000
Mo  0.500  0.500  0.500
B  0.000  0.500  0.000
Ca  0.000  0.000  0.500
Ca  0.500  0.000  0.000

No. 7
Below is a relaxed Ca3BN3 crystal, with properties calculated at the PBE level.

Output
The symmetry is P6_3/m. The calculation puts the calculated total energy at -89.62 eV for the cell shown. For the volume, the calculation gives 201 Å³/cell. Its theoretical density is 2855 kg/m3. For the energy relative to the elements, uncorrected, the calculation gives -1.022 eV/atom.

Cell: 4.976 6.836 6.836 Å, 120.00 90.00 90.00°
Element x y z (fractional)
Ca  0.750  0.710  0.635
Ca  0.750  0.365  0.076
Ca  0.750  0.924  0.290
Ca  0.250  0.290  0.365
Ca  0.250  0.635  0.924
Ca  0.250  0.076  0.710
B  0.250  0.667  0.333
B  0.750  0.333  0.667
N  0.250  0.691  0.569
N  0.250  0.431  0.122
N  0.250  0.878  0.309
N  0.750  0.309  0.431
N  0.750  0.569  0.878
N  0.750  0.122  0.691

No. 8
Below is a relaxed Ca8B3N8 crystal, with properties calculated at the PBE level.

Output
The symmetry is C2/m. The calculation puts the calculated total energy at -121.86 eV for the cell shown. For the volume, the calculation gives 280 Å³/cell. Its theoretical density is 2761 kg/m3. For the energy relative to the elements, uncorrected, the calculation gives -1.011 eV/atom. The value obtained for the density of states at the Fermi level is 2.58 states/eV/f.u.

Cell: 4.915 6.934 8.932 Å, 106.38 105.97 90.00°
Element x y z (fractional)
Ca  0.035  0.259  0.070
Ca  0.965  0.741  0.930
Ca  0.325  0.519  0.649
Ca  0.675  0.481  0.351
Ca  0.396  0.064  0.792
Ca  0.604  0.936  0.208
Ca  0.199  0.812  0.398
Ca  0.801  0.188  0.602
B  0.500  0.500  0.000
B  0.188  0.202  0.376
B  0.812  0.798  0.624
N  0.111  0.017  0.222
N  0.889  0.983  0.778
N  0.179  0.411  0.359
N  0.821  0.589  0.641
N  0.273  0.168  0.545
N  0.727  0.832  0.455
N  0.480  0.676  0.959
N  0.520  0.324  0.041

No. 9
Below is a relaxed CaBN2 crystal, with properties calculated at the PBE level.

Output
The symmetry is R-3m. The calculation puts the calculated total energy at -20.54 eV for the cell shown. For the volume, the calculation gives 43 Å³/cell. Its theoretical density is 3055 kg/m3. For the energy relative to the elements, uncorrected, the calculation gives 1.197 eV/atom. The value obtained for the density of states at the Fermi level is 2.11 states/eV/f.u.

Cell: 6.294 6.294 6.294 Å, 26.22 26.22 26.22°
Last column: magnetic moment on the atom in μB.
Element x y z (fractional)
Ca  0.000  0.000  0.000  -0.20
B  0.500  0.500  0.500  -0.04
N  0.877  0.877  0.877  0.48
N  0.123  0.123  0.123  0.48

No. 10
Below is a relaxed Ca3BN crystal, with properties calculated at the PBE level.

Output
The symmetry is Pm-3m. As for the relative energy among the computed polymorphs: 0 meV per atom. The calculation puts the calculated total energy at -21.08 eV for the cell shown. For the volume, the calculation gives 106 Å³/cell. Its theoretical density is 2274 kg/m3. For the energy relative to the elements, uncorrected, the calculation gives -0.015 eV/atom. The value obtained for the density of states at the Fermi level is 3.11 states/eV/f.u.

Cell: 4.732 4.732 4.732 Å, 90.00 90.00 90.00°
Last column: magnetic moment on the atom in μB.
Element x y z (fractional)
Ca  0.000  0.500  0.000  0.05
Ca  0.000  0.000  0.500  0.03
Ca  0.500  0.000  0.000  0.07
B  0.500  0.500  0.500  0.40
N  0.000  0.000  0.000  0.03

No. 11
Below is a relaxed Ca2BN crystal, with properties calculated at the PBE level.

Output
The symmetry is I-42d. As for the relative energy among the computed polymorphs: 0 meV per atom. The calculation puts the calculated total energy at -34.72 eV for the cell shown. For the volume, the calculation gives 156 Å³/cell. Its theoretical density is 2230 kg/m3. For the energy relative to the elements, uncorrected, the calculation gives 0.411 eV/atom. The value obtained for the density of states at the Fermi level is 1.86 states/eV/f.u.

Cell: 6.715 6.715 5.879 Å, 55.17 55.17 90.00°
Element x y z (fractional)
Ca  0.682  0.125  0.250
Ca  0.068  0.625  0.250
Ca  0.375  0.318  0.750
Ca  0.875  0.932  0.750
B  0.500  0.500  0.000
B  0.250  0.750  0.500
N  0.000  0.000  0.000
N  0.750  0.250  0.500

No. 12
Below is a relaxed Ca2B2N3 crystal, with properties calculated at the PBE level.

Output
The symmetry is C2/m. The calculation puts the calculated total energy at -46.79 eV for the cell shown. For the volume, the calculation gives 93 Å³/cell. Its theoretical density is 2573 kg/m3. For the energy relative to the elements, uncorrected, the calculation gives -0.637 eV/atom. The value obtained for the density of states at the Fermi level is 1.06 states/eV/f.u.

Cell: 2.942 8.213 7.367 Å, 146.07 101.52 90.00°
Element x y z (fractional)
Ca  0.446  0.141  0.892
Ca  0.554  0.859  0.108
B  0.183  0.324  0.366
B  0.817  0.676  0.634
N  0.000  0.000  0.000
N  0.213  0.560  0.425
N  0.787  0.440  0.575

No. 13
Below is a relaxed CaB6N6 crystal, with properties calculated at the PBE level.

Output
The symmetry is Pm-3. The calculation puts the calculated total energy at -96.54 eV for the cell shown. For the volume, the calculation gives 97 Å³/cell. Its theoretical density is 3228 kg/m3. For the energy relative to the elements, uncorrected, the calculation gives -0.348 eV/atom. The value obtained for the density of states at the Fermi level is 3.15 states/eV/f.u.

Cell: 4.598 4.598 4.598 Å, 90.00 90.00 90.00°
Element x y z (fractional)
Ca  0.500  0.500  0.500
B  0.255  0.000  0.500
B  0.000  0.500  0.255
B  0.500  0.745  0.000
B  0.745  0.000  0.500
B  0.000  0.500  0.745
B  0.500  0.255  0.000
N  0.000  0.251  0.500
N  0.000  0.749  0.500
N  0.500  0.000  0.749
N  0.749  0.500  0.000
N  0.500  0.000  0.251
N  0.251  0.500  0.000